Entry 1:
ThZrPa | PBE | optimized geometry

## Properties
Energy above the most stable polymorph in this dataset ... 0 meV/atom
DFT formation energy ... 0.080 eV per atom
Raw total energy ... -8.41 eV per atom
Spin magnetization ... 0.000 μB/atom

Cell: 3.8943 3.8943 10.6188 Å, 90.00 90.00 90.00°
Last column: nearest neighbours and their distance in Å.
Fractional positions:
Th  0.0000  0.5000  0.5992  4 Zr 3.34, 4 Th 3.47, 1 Pa 3.48
Th  0.5000  0.0000  0.4008  4 Zr 3.34, 4 Th 3.47, 1 Pa 3.48
Zr  0.5000  0.0000  0.7773  5 Pa 3.14-3.18, 4 Th 3.34
Zr  0.0000  0.5000  0.2227  5 Pa 3.14-3.18, 4 Th 3.34
Pa  0.0000  0.5000  0.9266  5 Zr 3.14-3.18, 4 Pa 3.16, 1 Th 3.48
Pa  0.5000  0.0000  0.0734  5 Zr 3.14-3.18, 4 Pa 3.16, 1 Th 3.48

Entry 2:
SrSi2I | PBE | optimized geometry

## Properties
Energy above the most stable polymorph in this dataset ... 124 meV/atom
Raw total energy ... -2.97 eV per atom
Spin magnetization ... 0.000 μB/atom

Cell: 5.3621 5.3621 5.3621 Å, 60.00 60.00 60.00°
Last column: nearest neighbours and their distance in Å.
Fractional positions:
I  0.5000  0.5000  0.5000  8 Si 3.28
Sr  0.0000  0.0000  0.0000  8 Si 3.28
Si  0.2500  0.2500  0.2500  4 I 3.28, 4 Sr 3.28
Si  0.7500  0.7500  0.7500  4 I 3.28, 4 Sr 3.28

Entry 3:
LaTbCu2Ge2 | PBE | optimized geometry

## Properties
DFT formation energy ... -0.688 eV per atom
Raw total energy ... -5.19 eV per atom
Spin magnetization ... 0.000 μB/atom

Cell: 4.2993 4.2993 7.7706 Å, 90.00 90.00 120.00°
Last column: nearest neighbours and their distance in Å.
Fractional positions:
La  0.0000  0.0000  0.0000  6 Ge 3.22, 6 Cu 3.28
Tb  0.0000  0.0000  0.5000  6 Cu 3.03, 6 Ge 3.09
Cu  0.3333  0.6667  0.7240  3 Ge 2.48
Cu  0.6667  0.3333  0.2760  3 Ge 2.48
Ge  0.3333  0.6667  0.2632  3 Cu 2.48
Ge  0.6667  0.3333  0.7368  3 Cu 2.48

Entry 4:
P2PdW | PBE | optimized geometry

## Properties
Energy above the most stable polymorph in this dataset ... 219 meV/atom
DFT formation energy ... 0.098 eV per atom
Raw total energy ... -7.14 eV per atom
Spin magnetization ... 0.000 μB/atom

Cell: 4.3188 4.3188 4.3188 Å, 60.00 60.00 60.00°
Last column: nearest neighbours and their distance in Å.
Fractional positions:
P  0.2500  0.2500  0.2500  4 W 2.64, 4 Pd 2.64
P  0.7500  0.7500  0.7500  4 W 2.64, 4 Pd 2.64
Pd  0.0000  0.0000  0.0000  8 P 2.64
W  0.5000  0.5000  0.5000  8 P 2.64

> Look up the raw total energy of the fourth one.

-7.14 eV per atom

> raw total energy of number 2 (SrSi2I)?

-2.97 eV per atom

> Which value of spin magnetization does entry 4 give?

0.000 μB/atom

> Which value of spin magnetization does entry 3 give?

0.000 μB/atom